PBE SnTePt, optimized geometry; energy relative to the elements, uncorrected = -348 meV per atom; total magnetization = 0.00 μB/cell; mass density = 9.82 Mg/m³; density of states at the Fermi level = 1.51 states/eV per cell; E_tot = -4.7434 eV per atom
1.0
4.053 0.000 0.000
-2.026 3.510 0.000
0.000 0.000 5.247
Sn Te Pt
1 1 1
direct
0.000 0.000 0.000 Sn
0.333 0.667 0.532 Te
0.667 0.333 0.261 Pt

=====

PBE Sn3TePt, optimized geometry; energy relative to the elements, uncorrected = -73 meV per atom; total magnetization = 0.00 μB/cell; mass density = 7.66 Mg/m³; density of states at the Fermi level = 3.58 states/eV per cell; E_tot = -4.3114 eV per atom
1.0
5.279 0.000 0.000
0.000 5.279 0.000
0.000 0.000 5.279
Sn Te Pt
3 1 1
direct
0.000 0.000 0.500 Sn
0.000 0.500 0.000 Sn
0.500 0.000 0.000 Sn
0.500 0.500 0.500 Te
0.000 0.000 0.000 Pt

=====

PBE SnTePt, optimized geometry; energy relative to the elements, uncorrected = -522 meV per atom; total magnetization = 0.00 μB/cell; mass density = 10.26 Mg/m³; density of states at the Fermi level = 1.67 states/eV per cell; E_tot = -4.9174 eV per atom
1.0
6.586 0.000 0.000
0.000 6.586 0.000
0.000 0.000 6.586
Sn Te Pt
4 4 4
direct
0.127 0.373 0.627 Sn
0.373 0.627 0.127 Sn
0.627 0.127 0.373 Sn
0.873 0.873 0.873 Sn
0.127 0.127 0.127 Te
0.373 0.873 0.627 Te
0.627 0.373 0.873 Te
0.873 0.627 0.373 Te
0.002 0.502 0.998 Pt
0.498 0.498 0.498 Pt
0.502 0.998 0.002 Pt
0.998 0.002 0.502 Pt